## Mg2Cd8In3 (PBE)

Data for a relaxed structure of Mg2Cd8In3.

E in Ry/atom: -0.10302
Density in g/cm³: 6.700
Magnetization in μB/cell: 0.00
Crystal system: orthorhombic
Calculated volume in Å³/atom: 24.6
SG: Cmmm (65)

Unit cell a=3.1358 b=9.7708 c=11.5388 alpha=115.05 beta=90.00 gamma=90.00
Atoms (fractional coordinates):
Mg 0.5000 0.2523 0.5045
Mg 0.5000 0.7477 0.4955
Cd 0.0000 0.6140 0.2277
Cd 0.0000 0.3860 0.7723
Cd 0.0000 0.1255 0.2509
Cd 0.0000 0.8745 0.7491
Cd 0.5000 0.5798 0.6630
Cd 0.5000 0.0829 0.6625
Cd 0.5000 0.9171 0.3375
Cd 0.5000 0.4202 0.3370
In 0.5000 0.0000 0.0000
In 0.0000 0.2979 0.0001
In 0.0000 0.7021 0.9999